Computed, not measured: a PBEsol-optimized structure of Zr2B2Ru at the meta-GGA SCAN level of DFT.

Cell: 3.432 6.121 6.121 Å, 90.00 90.00 90.00°
Positions (direct):
Ru1 0.000 0.000 0.000
Ru2 0.000 0.500 0.500
B1 0.000 0.394 0.894
B2 0.000 0.894 0.606
B3 0.000 0.606 0.106
B4 0.000 0.106 0.394
Zr1 0.500 0.181 0.681
Zr2 0.500 0.681 0.819
Zr3 0.500 0.819 0.319
Zr4 0.500 0.319 0.181

* energy of formation from the pure elements: -0.86 eV/atom
* symmetry: P4/mbm, No. 127

***

Computed, not measured: a PBEsol-optimized structure of ScBS2 at the meta-GGA SCAN level of DFT.

Cell: 3.528 3.528 6.898 Å, 75.18 75.18 60.00°
Positions (direct):
Sc1 0.500 0.500 0.500
S1 0.912 0.912 0.263
S2 0.088 0.088 0.737
B1 0.000 0.000 0.000

* ΔE_f (raw): -0.629 eV per atom
* symmetry: R-3m, No. 166

***

Computed, not measured: a PBEsol-optimized structure of B2SeS at the meta-GGA SCAN level of DFT.

Cell: 5.184 5.159 5.184 Å, 120.16 90.00 120.16°
Positions (direct):
S1 0.750 0.500 0.250
S2 0.500 0.000 0.500
B1 0.844 0.250 0.875
B2 0.406 0.250 0.375
B3 0.625 0.750 0.156
B4 0.125 0.750 0.594
Se1 0.250 0.500 0.750
Se2 0.000 0.000 0.000

* ΔE_f (raw): 0.603 eV per atom
* distance to the lowest polymorph of the same formula: 0.0000 eV/atom
* symmetry: I-42d, No. 122

***

Computed, not measured: a PBEsol-optimized structure of B2SeS at the meta-GGA SCAN level of DFT.

Cell: 4.042 4.042 4.042 Å, 60.00 60.00 60.00°
Positions (direct):
S1 0.000 0.000 0.000
B1 0.250 0.250 0.250
B2 0.750 0.750 0.750
Se1 0.500 0.500 0.500

* ΔE_f (raw): 1.889 eV per atom
* distance to the lowest polymorph of the same formula: 1.2854 eV/atom
* symmetry: Fm-3m, No. 225

***

Computed, not measured: a PBEsol-optimized structure of Si2BS2 at the meta-GGA SCAN level of DFT.

Cell: 3.994 6.190 6.190 Å, 90.00 90.00 90.00°
Positions (direct):
S1 0.500 0.163 0.663
S2 0.500 0.663 0.837
S3 0.500 0.837 0.337
S4 0.500 0.337 0.163
B1 0.000 0.000 0.000
B2 0.000 0.500 0.500
Si1 0.000 0.270 0.770
Si2 0.000 0.770 0.730
Si3 0.000 0.730 0.230
Si4 0.000 0.230 0.270

* ΔE_f (raw): 0.669 eV per atom
* symmetry: P4/mbm, No. 127

***

Computed, not measured: a PBEsol-optimized structure of SiB3S at the meta-GGA SCAN level of DFT.

Cell: 4.006 4.006 4.006 Å, 90.00 90.00 90.00°
Positions (direct):
S1 0.500 0.500 0.500
B1 0.000 0.500 0.000
B2 0.000 0.000 0.500
B3 0.500 0.000 0.000
Si1 0.000 0.000 0.000

* ΔE_f (raw): 1.618 eV per atom
* symmetry: Pm-3m, No. 221

***

Computed, not measured: a PBEsol-optimized structure of TlSiB2S at the meta-GGA SCAN level of DFT.

Cell: 3.891 3.891 5.572 Å, 90.00 90.00 90.00°
Positions (direct):
Tl1 0.000 0.000 0.500
B1 0.000 0.500 0.000
B2 0.500 0.000 0.000
Si1 0.500 0.500 0.500
S1 0.000 0.000 0.000

* ΔE_f (raw): 1.643 eV per atom
* symmetry: P4/mmm, No. 123

***

Computed, not measured: a PBEsol-optimized structure of Tc2BS at the meta-GGA SCAN level of DFT.

Cell: 3.967 3.967 3.967 Å, 60.00 60.00 60.00°
Positions (direct):
S1 0.500 0.500 0.500
B1 0.000 0.000 0.000
Tc1 0.250 0.250 0.250
Tc2 0.750 0.750 0.750

* ΔE_f (raw): 0.168 eV per atom
* symmetry: Fm-3m, No. 225